{
  "formula": "AgAs2HSe",
  "functional": "meta-GGA SCAN",
  "state": "PBEsol geometry",
  "spacegroup": "No. 123",
  "final_energy_ev_per_atom": -17.75,
  "lattice": [[4.939, 0.000, 0.000], [0.000, 4.939, 0.000], [0.000, 0.000, 5.083]],
  "species": ["Ag", "As", "As", "H", "Se"],
  "frac_coords": [[0.000, 0.000, 0.000], [0.000, 0.500, 0.000], [0.500, 0.000, 0.000], [0.500, 0.500, 0.500], [0.000, 0.000, 0.500]]
}

{
  "formula": "HfAgAsSe2",
  "functional": "meta-GGA SCAN",
  "state": "PBEsol geometry",
  "spacegroup": "No. 123",
  "raw_formation_energy_kj_per_mol_atoms": 64.2,
  "lattice": [[4.842, 0.000, 0.000], [0.000, 4.842, 0.000], [0.000, 0.000, 4.862]],
  "species": ["Hf", "Ag", "As", "Se", "Se"],
  "frac_coords": [[0.000, 0.000, 0.000], [0.500, 0.500, 0.500], [0.500, 0.500, 0.000], [0.000, 0.500, 0.500], [0.500, 0.000, 0.500]]
}

{
  "formula": "HfAgAs2Se",
  "functional": "meta-GGA SCAN",
  "state": "PBEsol geometry",
  "spacegroup": "No. 123",
  "raw_formation_energy_kj_per_mol_atoms": 75.3,
  "lattice": [[4.803, 0.000, 0.000], [0.000, 4.803, 0.000], [0.000, 0.000, 4.898]],
  "species": ["Hf", "Ag", "As", "As", "Se"],
  "frac_coords": [[0.000, 0.000, 0.000], [0.500, 0.500, 0.500], [0.000, 0.500, 0.500], [0.500, 0.000, 0.500], [0.500, 0.500, 0.000]]
}

{
  "formula": "AgHg2As2",
  "functional": "meta-GGA SCAN",
  "state": "PBEsol geometry",
  "spacegroup": "No. 139",
  "formation_energy_ev_per_atom": 0.36,
  "lattice": [[-1.930, 1.930, 7.854], [1.930, -1.930, 7.854], [1.930, 1.930, -7.854]],
  "species": ["Ag", "Hg", "Hg", "As", "As"],
  "frac_coords": [[0.000, 0.000, 0.000], [0.250, 0.750, 0.500], [0.750, 0.250, 0.500], [0.425, 0.425, 0.000], [0.575, 0.575, 0.000]]
}

{
  "formula": "AgHgAs2",
  "functional": "meta-GGA SCAN",
  "state": "PBEsol geometry",
  "spacegroup": "No. 44",
  "formation_energy_ev_per_atom": 0.21,
  "lattice": [[-1.777, 2.052, 5.657], [1.777, -2.052, 5.657], [1.777, 2.052, -5.657]],
  "species": ["Ag", "Hg", "As", "As"],
  "frac_coords": [[0.000, 0.000, 0.000], [0.687, 0.187, 0.500], [0.297, 0.797, 0.500], [0.459, 0.459, 0.000]]
}

{
  "formula": "AgHgAs2",
  "functional": "meta-GGA SCAN",
  "state": "PBEsol geometry",
  "spacegroup": "No. 35",
  "formation_energy_ev_per_atom": 0.33,
  "lattice": [[1.645, -2.410, 0.000], [1.645, 2.410, 0.000], [0.000, 0.000, 9.541]],
  "species": ["Ag", "Hg", "As", "As"],
  "frac_coords": [[0.000, 0.000, 0.000], [0.500, 0.500, 0.751], [0.000, 0.000, 0.482], [0.500, 0.500, 0.237]]
}

{
  "formula": "Ag2HgAs",
  "functional": "meta-GGA SCAN",
  "state": "PBEsol geometry",
  "spacegroup": "No. 216",
  "formation_energy_ev_per_atom": 0.28,
  "lattice": [[0.000, 3.340, 3.340], [3.340, 0.000, 3.340], [3.340, 3.340, 0.000]],
  "species": ["Ag", "Ag", "Hg", "As"],
  "frac_coords": [[0.000, 0.000, 0.000], [0.250, 0.250, 0.250], [0.500, 0.500, 0.500], [0.750, 0.750, 0.750]]
}

{
  "formula": "AgHgAs2",
  "functional": "meta-GGA SCAN",
  "state": "PBEsol geometry",
  "spacegroup": "No. 12",
  "formation_energy_ev_per_atom": 0.09,
  "lattice": [[5.727, -1.793, 0.000], [5.727, 1.793, 0.000], [-1.064, 0.000, 4.183]],
  "species": ["Ag", "Hg", "As", "As"],
  "frac_coords": [[0.000, 0.000, 0.000], [0.500, 0.500, 0.500], [0.231, 0.231, 0.176], [0.769, 0.769, 0.824]]
}

{
  "formula": "AgHgAs2",
  "functional": "meta-GGA SCAN",
  "state": "PBEsol geometry",
  "spacegroup": "No. 123",
  "formation_energy_ev_per_atom": 0.39,
  "lattice": [[5.239, 0.000, 0.000], [0.000, 5.239, 0.000], [0.000, 0.000, 2.833]],
  "species": ["Ag", "Hg", "As", "As"],
  "frac_coords": [[0.000, 0.000, 0.000], [0.500, 0.500, 0.000], [0.000, 0.500, 0.500], [0.500, 0.000, 0.500]]
}

{
  "formula": "Ag3HgAs",
  "functional": "meta-GGA SCAN",
  "state": "PBEsol geometry",
  "spacegroup": "No. 221",
  "formation_energy_ev_per_atom": 0.94,
  "lattice": [[5.035, 0.000, 0.000], [0.000, 5.035, 0.000], [0.000, 0.000, 5.035]],
  "species": ["Ag", "Ag", "Ag", "Hg", "As"],
  "frac_coords": [[0.000, 0.000, 0.500], [0.000, 0.500, 0.000], [0.500, 0.000, 0.000], [0.000, 0.000, 0.000], [0.500, 0.500, 0.500]]
}

{
  "formula": "Ag8HgAs2O10",
  "functional": "meta-GGA SCAN",
  "state": "PBEsol geometry",
  "spacegroup": "No. 159",
  "raw_formation_energy_kj_per_mol_atoms": -49.6,
  "lattice": [[5.856, 0.000, 0.000], [-2.928, 5.072, 0.000], [0.000, 0.000, 21.407]],
  "species": ["Ag", "Ag", "Ag", "Ag", "Ag", "Ag", "Ag", "Ag", "Ag", "Ag", "Ag", "Ag", "Ag", "Ag", "Ag", "Ag", "Hg", "Hg", "As", "As", "As", "As", "O", "O", "O", "O", "O", "O", "O", "O", "O", "O", "O", "O", "O", "O", "O", "O", "O", "O", "O", "O"],
  "frac_coords": [[0.032, 0.380, 0.000], [0.066, 0.674, 0.760], [0.326, 0.392, 0.760], [0.333, 0.667, 0.591], [0.333, 0.667, 0.875], [0.348, 0.968, 0.000], [0.380, 0.032, 0.500], [0.392, 0.326, 0.260], [0.608, 0.934, 0.760], [0.620, 0.652, 0.000], [0.652, 0.620, 0.500], [0.667, 0.333, 0.091], [0.667, 0.333, 0.375], [0.674, 0.066, 0.260], [0.934, 0.608, 0.260], [0.968, 0.348, 0.500], [0.333, 0.667, 0.157], [0.667, 0.333, 0.657], [0.000, 0.000, 0.132], [0.000, 0.000, 0.380], [0.000, 0.000, 0.632], [0.000, 0.000, 0.880], [0.000, 0.000, 0.051], [0.000, 0.000, 0.299], [0.000, 0.000, 0.551], [0.000, 0.000, 0.799], [0.027, 0.295, 0.403], [0.128, 0.318, 0.660], [0.190, 0.872, 0.660], [0.268, 0.973, 0.403], [0.295, 0.027, 0.903], [0.318, 0.128, 0.160], [0.333, 0.667, 0.061], [0.333, 0.667, 0.254], [0.667, 0.333, 0.561], [0.667, 0.333, 0.754], [0.682, 0.810, 0.660], [0.705, 0.732, 0.403], [0.732, 0.705, 0.903], [0.810, 0.682, 0.160], [0.872, 0.190, 0.160], [0.973, 0.268, 0.903]]
}

{
  "formula": "AgHgAsSe2",
  "functional": "meta-GGA SCAN",
  "state": "PBEsol geometry",
  "spacegroup": "No. 123",
  "raw_formation_energy_kj_per_mol_atoms": 71.6,
  "lattice": [[5.014, 0.000, 0.000], [0.000, 5.014, 0.000], [0.000, 0.000, 4.935]],
  "species": ["Ag", "Hg", "As", "Se", "Se"],
  "frac_coords": [[0.000, 0.000, 0.000], [0.500, 0.500, 0.500], [0.000, 0.000, 0.500], [0.000, 0.500, 0.000], [0.500, 0.000, 0.000]]
}

{
  "formula": "Ag3AsI",
  "functional": "meta-GGA SCAN",
  "state": "PBEsol geometry",
  "spacegroup": "No. 221",
  "raw_formation_energy_kj_per_mol_atoms": 22.5,
  "lattice": [[4.950, 0.000, 0.000], [0.000, 4.950, 0.000], [0.000, 0.000, 4.950]],
  "species": ["Ag", "Ag", "Ag", "As", "I"],
  "frac_coords": [[0.000, 0.000, 0.500], [0.000, 0.500, 0.000], [0.500, 0.000, 0.000], [0.000, 0.000, 0.000], [0.500, 0.500, 0.500]]
}

{
  "formula": "In4AgAs",
  "functional": "meta-GGA SCAN",
  "state": "PBEsol geometry",
  "spacegroup": "No. 216",
  "formation_energy_ev_per_atom": 0.45,
  "lattice": [[0.000, 4.187, 4.187], [4.187, 0.000, 4.187], [4.187, 4.187, 0.000]],
  "species": ["In", "In", "In", "In", "Ag", "As"],
  "frac_coords": [[0.125, 0.125, 0.125], [0.125, 0.125, 0.625], [0.125, 0.625, 0.125], [0.625, 0.125, 0.125], [0.500, 0.500, 0.500], [0.750, 0.750, 0.750]]
}

{
  "formula": "InAg2As",
  "functional": "meta-GGA SCAN",
  "state": "PBEsol geometry",
  "spacegroup": "No. 8",
  "formation_energy_ev_per_atom": 0.11,
  "lattice": [[4.717, -2.088, 0.000], [4.717, 2.088, 0.000], [-1.763, 0.000, 3.800]],
  "species": ["In", "Ag", "Ag", "As"],
  "frac_coords": [[0.000, 0.000, 0.000], [0.500, 0.500, 0.499], [0.750, 0.750, 0.248], [0.250, 0.250, 0.742]]
}

{
  "formula": "AgAs2Ir",
  "functional": "meta-GGA SCAN",
  "state": "PBEsol geometry",
  "spacegroup": "No. 99",
  "formation_energy_ev_per_atom": 0.12,
  "e_above_lowest_polymorph_mev_per_atom": 0,
  "lattice": [[2.927, 0.000, 0.000], [0.000, 2.927, 0.000], [0.000, 0.000, 8.016]],
  "species": ["Ag", "As", "As", "Ir"],
  "frac_coords": [[0.000, 0.000, 0.000], [0.000, 0.000, 0.568], [0.500, 0.500, 0.242], [0.500, 0.500, 0.743]]
}

{
  "formula": "AgAs2Ir",
  "functional": "meta-GGA SCAN",
  "state": "PBEsol geometry",
  "spacegroup": "No. 35",
  "formation_energy_ev_per_atom": 0.30,
  "e_above_lowest_polymorph_mev_per_atom": 176,
  "lattice": [[1.427, -2.432, 0.000], [1.427, 2.432, 0.000], [0.000, 0.000, 9.769]],
  "species": ["Ag", "As", "As", "Ir"],
  "frac_coords": [[0.000, 0.000, 0.000], [0.000, 0.000, 0.455], [0.500, 0.500, 0.756], [0.500, 0.500, 0.246]]
}

{
  "formula": "AgAs2Ir",
  "functional": "meta-GGA SCAN",
  "state": "PBEsol geometry",
  "spacegroup": "No. 216",
  "formation_energy_ev_per_atom": 0.60,
  "e_above_lowest_polymorph_mev_per_atom": 476,
  "lattice": [[0.000, 3.195, 3.195], [3.195, 0.000, 3.195], [3.195, 3.195, 0.000]],
  "species": ["Ag", "As", "As", "Ir"],
  "frac_coords": [[0.000, 0.000, 0.000], [0.250, 0.250, 0.250], [0.500, 0.500, 0.500], [0.750, 0.750, 0.750]]
}

{
  "formula": "KAgAs2",
  "functional": "meta-GGA SCAN",
  "state": "PBEsol geometry",
  "spacegroup": "No. 123",
  "formation_energy_ev_per_atom": 0.21,
  "e_above_lowest_polymorph_mev_per_atom": 141,
  "lattice": [[4.327, 0.000, 0.000], [0.000, 4.327, 0.000], [0.000, 0.000, 4.478]],
  "species": ["K", "Ag", "As", "As"],
  "frac_coords": [[0.000, 0.000, 0.000], [0.500, 0.500, 0.000], [0.000, 0.500, 0.500], [0.500, 0.000, 0.500]]
}

{
  "formula": "KAgAs2",
  "functional": "meta-GGA SCAN",
  "state": "PBEsol geometry",
  "spacegroup": "No. 99",
  "formation_energy_ev_per_atom": 0.07,
  "e_above_lowest_polymorph_mev_per_atom": 0,
  "lattice": [[3.552, 0.000, 0.000], [0.000, 3.552, 0.000], [0.000, 0.000, 7.543]],
  "species": ["K", "Ag", "As", "As"],
  "frac_coords": [[0.000, 0.000, 0.000], [0.500, 0.500, 0.331], [0.000, 0.000, 0.543], [0.500, 0.500, 0.683]]
}

{
  "formula": "KAgAs3",
  "functional": "meta-GGA SCAN",
  "state": "PBEsol geometry",
  "spacegroup": "No. 221",
  "formation_energy_ev_per_atom": 1.76,
  "lattice": [[5.287, 0.000, 0.000], [0.000, 5.287, 0.000], [0.000, 0.000, 5.287]],
  "species": ["K", "Ag", "As", "As", "As"],
  "frac_coords": [[0.000, 0.000, 0.000], [0.500, 0.500, 0.500], [0.000, 0.000, 0.500], [0.000, 0.500, 0.000], [0.500, 0.000, 0.000]]
}

{
  "formula": "KAg2As2",
  "functional": "meta-GGA SCAN",
  "state": "PBEsol geometry",
  "spacegroup": "No. 139",
  "formation_energy_ev_per_atom": -0.24,
  "lattice": [[-2.246, 2.246, 5.356], [2.246, -2.246, 5.356], [2.246, 2.246, -5.356]],
  "species": ["K", "Ag", "Ag", "As", "As"],
  "frac_coords": [[0.000, 0.000, 0.000], [0.250, 0.750, 0.500], [0.750, 0.250, 0.500], [0.385, 0.385, 0.000], [0.615, 0.615, 0.000]]
}

{
  "formula": "KAgAs2",
  "functional": "meta-GGA SCAN",
  "state": "PBEsol geometry",
  "spacegroup": "No. 139",
  "formation_energy_ev_per_atom": 0.29,
  "e_above_lowest_polymorph_mev_per_atom": 223,
  "lattice": [[-2.444, 2.444, 3.494], [2.444, -2.444, 3.494], [2.444, 2.444, -3.494]],
  "species": ["K", "Ag", "As", "As"],
  "frac_coords": [[0.000, 0.000, 0.000], [0.500, 0.500, 0.000], [0.250, 0.750, 0.500], [0.750, 0.250, 0.500]]
}

{
  "formula": "KAgAs2Se",
  "functional": "meta-GGA SCAN",
  "state": "PBEsol geometry",
  "spacegroup": "No. 123",
  "raw_formation_energy_kj_per_mol_atoms": 22.4,
  "lattice": [[4.980, 0.000, 0.000], [0.000, 4.980, 0.000], [0.000, 0.000, 5.305]],
  "species": ["K", "Ag", "As", "As", "Se"],
  "frac_coords": [[0.000, 0.000, 0.000], [0.500, 0.500, 0.500], [0.000, 0.500, 0.500], [0.500, 0.000, 0.500], [0.500, 0.500, 0.000]]
}

| no. | volume (Å³/atom) |
| --- | --- |
| 1 | 24.8 |
| 2 | 22.8 |
| 3 | 22.6 |
| 4 | 23.4 |
| 5 | 20.6 |
| 6 | 18.9 |
| 7 | 18.6 |
| 8 | 21.5 |
| 9 | 19.4 |
| 10 | 25.5 |
| 11 | 15.1 |
| 12 | 24.8 |
| 13 | 24.3 |
| 14 | 24.5 |
| 15 | 18.7 |
| 16 | 17.2 |
| 17 | 17.0 |
| 18 | 16.3 |
| 19 | 21.0 |
| 20 | 23.8 |
| 21 | 29.6 |
| 22 | 21.6 |
| 23 | 20.9 |
| 24 | 26.3 |